A plane-wave DFT calculation with meta-GGA SCAN was carried out for Mg2AlWAu at its PBEsol-relaxed geometry.

Output
Energy of formation from the pure elements   0.844 eV/atom
Space group   P4/mmm
E   -30.465 eV per atom

a b c (Å): 4.7148 4.8621 4.8621
angles (deg): 90.00 90.00 90.00
Last column: nearest neighbours and their distance in Å.
Fractional positions:
Al 0.5000 0.0000 0.0000  2 Au 2.36
Au 0.0000 0.0000 0.0000  2 Al 2.36, 4 Mg 2.43
W 0.5000 0.5000 0.5000  8 Mg 3.39, 4 Al 3.44
Mg 0.0000 0.5000 0.0000  2 Au 2.43
Mg 0.0000 0.0000 0.5000  2 Au 2.43